# 1
! SmZr3Zn8, relaxed, DFT PBE-GGA; values from VASP
&SYSTEM
  ibrav = 0, nat = 12, ntyp = 3
/
ATOMIC_SPECIES
Sm 150.36 Sm.upf
Zr 91.22 Zr.upf
Zn 65.41 Zn.upf
CELL_PARAMETERS angstrom
5.353 0.000 0.000
-2.676 4.636 0.000
0.000 0.000 8.556
ATOMIC_POSITIONS angstrom
Sm 0.000 0.000 0.000
Zr 0.000 0.000 3.223
Zr 2.676 1.545 4.256
Zr 2.676 1.545 7.314
Zn 0.000 1.511 5.795
Zn -1.368 3.880 5.795
Zn 0.000 3.090 3.698
Zn 0.000 3.090 7.959
Zn 2.676 0.055 1.621
Zn 1.386 2.291 1.621
Zn 1.368 3.880 5.795
Zn 3.967 2.291 1.621
! Calculated total energy, eV per cell: -43.59
! ΔH_f (0 K), meV/atom: -253
! Space group: P3m1, No. 156

# 2
! SmZr2Zn9, relaxed, DFT PBE-GGA; values from VASP
&SYSTEM
  ibrav = 0, nat = 12, ntyp = 3
/
ATOMIC_SPECIES
Sm 150.36 Sm.upf
Zr 91.22 Zr.upf
Zn 65.41 Zn.upf
CELL_PARAMETERS angstrom
2.657 1.534 8.435
-2.657 1.534 8.435
0.000 -3.069 8.435
ATOMIC_POSITIONS angstrom
Sm 0.000 0.000 0.000
Zr 0.000 0.000 3.648
Zr 0.000 0.000 21.657
Zn -1.360 -0.785 10.601
Zn 0.000 0.000 8.489
Zn 0.000 -1.570 14.704
Zn -1.360 0.785 14.704
Zn 0.000 0.000 12.652
Zn 1.360 -0.785 10.601
Zn 0.000 1.570 10.601
Zn 0.000 0.000 16.816
Zn 1.360 0.785 14.704
! Calculated total energy, eV per cell: -36.86
! ΔH_f (0 K), meV/atom: -298
! Space group: R-3m, No. 166

# 3
! SmZr2Zn6, relaxed, DFT PBE-GGA; values from VASP
&SYSTEM
  ibrav = 0, nat = 9, ntyp = 3
/
ATOMIC_SPECIES
Sm 150.36 Sm.upf
Zr 91.22 Zr.upf
Zn 65.41 Zn.upf
CELL_PARAMETERS angstrom
7.684 0.000 0.000
-3.842 6.654 0.000
0.000 0.000 3.247
ATOMIC_POSITIONS angstrom
Sm 0.000 0.000 0.000
Zr 0.000 4.436 0.000
Zr 3.842 2.218 0.000
Zn -1.307 2.264 1.623
Zn -2.535 4.390 1.623
Zn 2.614 0.000 1.623
Zn 1.307 2.264 1.623
Zn 5.069 0.000 1.623
Zn 2.535 4.390 1.623
! Calculated total energy, eV per cell: -32.03
! ΔH_f (0 K), meV/atom: -285
! Space group: P6/mmm, No. 191

# 4
! SmZrZn2, relaxed, DFT PBE-GGA; values from VASP
&SYSTEM
  ibrav = 0, nat = 4, ntyp = 3
/
ATOMIC_SPECIES
Sm 150.36 Sm.upf
Zr 91.22 Zr.upf
Zn 65.41 Zn.upf
CELL_PARAMETERS angstrom
3.487 0.000 0.000
0.000 3.487 0.000
0.000 0.000 6.958
ATOMIC_POSITIONS angstrom
Sm 0.000 0.000 0.000
Zr 0.000 0.000 3.479
Zn 1.744 1.744 1.965
Zn 1.744 1.744 4.993
! Distance to the lowest polymorph of the same formula, meV/atom: 0
! Calculated total energy, eV per cell: -16.87
! ΔH_f (0 K), meV/atom: -264
! Space group: P4/mmm, No. 123

# 5
! SmZr3, relaxed, DFT PBE-GGA; values from VASP
&SYSTEM
  ibrav = 0, nat = 8, ntyp = 2
/
ATOMIC_SPECIES
Sm 150.36 Sm.upf
Zr 91.22 Zr.upf
CELL_PARAMETERS angstrom
4.651 0.000 0.000
0.000 4.651 0.000
0.000 0.000 9.268
ATOMIC_POSITIONS angstrom
Sm 0.000 0.000 0.000
Sm 2.326 2.326 4.634
Zr 0.000 0.000 4.634
Zr 0.000 2.326 2.317
Zr 0.000 2.326 6.951
Zr 2.326 0.000 2.317
Zr 2.326 0.000 6.951
Zr 2.326 2.326 0.000
! Distance to the lowest polymorph of the same formula, meV/atom: 47
! Calculated total energy, eV per cell: -59.55
! ΔH_f (0 K), meV/atom: 148
! Space group: I4/mmm, No. 139

# 6
! SmZr5, relaxed, DFT PBE-GGA; values from VASP
&SYSTEM
  ibrav = 0, nat = 12, ntyp = 2
/
ATOMIC_SPECIES
Sm 150.36 Sm.upf
Zr 91.22 Zr.upf
CELL_PARAMETERS angstrom
4.604 0.000 0.000
0.000 13.841 0.000
0.000 0.000 4.605
ATOMIC_POSITIONS angstrom
Sm 0.000 0.000 0.000
Sm 2.302 6.920 0.000
Zr 0.000 2.370 2.302
Zr 0.000 4.563 0.000
Zr 0.000 6.920 2.302
Zr 0.000 9.278 0.000
Zr 0.000 11.471 2.302
Zr 2.302 0.000 2.302
Zr 2.302 2.357 0.000
Zr 2.302 4.551 2.302
Zr 2.302 9.290 2.302
Zr 2.302 11.483 0.000
! Calculated total energy, eV per cell: -93.55
! ΔH_f (0 K), meV/atom: 114
! Space group: Cmmm, No. 65

# 7
! SmZr3, relaxed, DFT PBE-GGA; values from VASP
&SYSTEM
  ibrav = 0, nat = 4, ntyp = 2
/
ATOMIC_SPECIES
Sm 150.36 Sm.upf
Zr 91.22 Zr.upf
CELL_PARAMETERS angstrom
3.305 0.000 0.000
0.000 5.291 0.000
0.000 0.000 5.820
ATOMIC_POSITIONS angstrom
Sm 0.000 0.000 0.000
Zr 0.000 2.645 3.848
Zr 1.653 0.000 2.907
Zr 1.653 2.645 1.126
! Distance to the lowest polymorph of the same formula, meV/atom: 0
! Calculated total energy, eV per cell: -29.96
! ΔH_f (0 K), meV/atom: 101
! Space group: Pmm2, No. 25

# 8
! SmZr3, relaxed, DFT PBE-GGA; values from VASP
&SYSTEM
  ibrav = 0, nat = 4, ntyp = 2
/
ATOMIC_SPECIES
Sm 150.36 Sm.upf
Zr 91.22 Zr.upf
CELL_PARAMETERS angstrom
4.649 0.000 0.000
0.000 4.649 0.000
0.000 0.000 4.649
ATOMIC_POSITIONS angstrom
Sm 0.000 0.000 0.000
Zr 0.000 2.324 2.324
Zr 2.324 0.000 2.324
Zr 2.324 2.324 0.000
! Distance to the lowest polymorph of the same formula, meV/atom: 57
! Calculated total energy, eV per cell: -29.73
! ΔH_f (0 K), meV/atom: 158
! Space group: Pm-3m, No. 221

# 9
! Sm2Zr, relaxed, DFT PBE-GGA; values from VASP
&SYSTEM
  ibrav = 0, nat = 6, ntyp = 2
/
ATOMIC_SPECIES
Sm 150.36 Sm.upf
Zr 91.22 Zr.upf
CELL_PARAMETERS angstrom
3.424 0.000 0.000
0.000 3.424 0.000
0.000 0.000 15.108
ATOMIC_POSITIONS angstrom
Sm 0.000 0.000 2.347
Sm 0.000 0.000 12.761
Sm 1.712 1.712 5.207
Sm 1.712 1.712 9.901
Zr 0.000 0.000 7.554
Zr 1.712 1.712 0.000
! Calculated total energy, eV per cell: -35.33
! ΔH_f (0 K), meV/atom: 108
! Space group: I4/mmm, No. 139

# 10
! Sn, relaxed, DFT PBE-GGA; values from VASP
&SYSTEM
  ibrav = 0, nat = 12, ntyp = 1
/
ATOMIC_SPECIES
Sn 118.71 Sn.upf
CELL_PARAMETERS angstrom
6.954 0.000 0.000
0.000 6.954 0.000
0.000 0.000 6.954
ATOMIC_POSITIONS angstrom
Sn 0.000 1.739 6.085
Sn 0.000 5.216 4.347
Sn 0.869 3.477 1.739
Sn 1.739 0.869 3.477
Sn 1.739 6.085 0.000
Sn 2.608 3.477 5.216
Sn 3.477 1.739 0.869
Sn 3.477 5.216 2.608
Sn 4.347 0.000 5.216
Sn 5.216 2.608 3.477
Sn 5.216 4.347 0.000
Sn 6.085 0.000 1.739
! Distance to the lowest polymorph of the same formula, meV/atom: 81
! Calculated total energy, eV per cell: -47.06
! ΔH_f (0 K), meV/atom: 81
! Space group: I-43d, No. 220

# 11
! Sn, relaxed, DFT PBE-GGA; values from VASP
&SYSTEM
  ibrav = 0, nat = 2, ntyp = 1
/
ATOMIC_SPECIES
Sn 118.71 Sn.upf
CELL_PARAMETERS angstrom
3.793 0.000 0.000
0.000 3.793 0.000
0.000 0.000 3.793
ATOMIC_POSITIONS angstrom
Sn 0.000 0.000 0.000
Sn 1.897 1.897 1.897
! Distance to the lowest polymorph of the same formula, meV/atom: 86
! Calculated total energy, eV per cell: -7.83
! ΔH_f (0 K), meV/atom: 86
! Space group: Im-3m, No. 229

# 12
! Sn, relaxed, DFT PBE-GGA; values from VASP
&SYSTEM
  ibrav = 0, nat = 1, ntyp = 1
/
ATOMIC_SPECIES
Sn 118.71 Sn.upf
CELL_PARAMETERS angstrom
3.260 0.000 0.000
-1.630 2.824 0.000
0.000 0.000 3.075
ATOMIC_POSITIONS angstrom
Sn 0.000 0.000 0.000
! Distance to the lowest polymorph of the same formula, meV/atom: 34
! Calculated total energy, eV per cell: -3.97
! ΔH_f (0 K), meV/atom: 34
! Space group: P6/mmm, No. 191

# 13
! Sn, relaxed, DFT PBE-GGA; values from VASP
&SYSTEM
  ibrav = 0, nat = 8, ntyp = 1
/
ATOMIC_SPECIES
Sn 118.71 Sn.upf
CELL_PARAMETERS angstrom
5.608 0.000 0.000
0.000 9.768 0.000
0.000 0.000 4.634
ATOMIC_POSITIONS angstrom
Sn 0.000 1.467 0.495
Sn 0.000 3.417 2.812
Sn 0.000 6.351 1.822
Sn 0.000 8.301 4.139
Sn 2.804 1.467 1.822
Sn 2.804 3.417 4.139
Sn 2.804 6.351 0.495
Sn 2.804 8.301 2.812
! Distance to the lowest polymorph of the same formula, meV/atom: 111
! Calculated total energy, eV per cell: -31.14
! ΔH_f (0 K), meV/atom: 111
! Space group: Cmce, No. 64

# 14
! Sn, relaxed, DFT PBE-GGA; values from VASP
&SYSTEM
  ibrav = 0, nat = 4, ntyp = 1
/
ATOMIC_SPECIES
Sn 118.71 Sn.upf
CELL_PARAMETERS angstrom
5.898 0.000 0.000
0.000 5.898 0.000
0.000 0.000 3.243
ATOMIC_POSITIONS angstrom
Sn 0.000 1.474 1.216
Sn 0.000 4.423 2.027
Sn 2.949 1.474 0.405
Sn 2.949 4.423 2.838
! Distance to the lowest polymorph of the same formula, meV/atom: 42
! Calculated total energy, eV per cell: -15.84
! ΔH_f (0 K), meV/atom: 42
! Space group: I4_1/amd, No. 141

# 15
! Sn, relaxed, DFT PBE-GGA; values from VASP
&SYSTEM
  ibrav = 0, nat = 12, ntyp = 1
/
ATOMIC_SPECIES
Sn 118.71 Sn.upf
CELL_PARAMETERS angstrom
8.180 0.000 0.000
0.000 8.180 0.000
0.000 0.000 8.180
ATOMIC_POSITIONS angstrom
Sn 0.000 2.045 4.090
Sn 0.000 4.090 2.045
Sn 0.000 4.090 6.135
Sn 0.000 6.135 4.090
Sn 2.045 0.000 4.090
Sn 2.045 4.090 0.000
Sn 4.090 0.000 2.045
Sn 4.090 0.000 6.135
Sn 4.090 2.045 0.000
Sn 4.090 6.135 0.000
Sn 6.135 0.000 4.090
Sn 6.135 4.090 0.000
! Distance to the lowest polymorph of the same formula, meV/atom: 138
! Calculated total energy, eV per cell: -46.38
! ΔH_f (0 K), meV/atom: 138
! Space group: Im-3m, No. 229

# 16
! Sn, relaxed, DFT PBE-GGA; values from VASP
&SYSTEM
  ibrav = 0, nat = 16, ntyp = 1
/
ATOMIC_SPECIES
Sn 118.71 Sn.upf
CELL_PARAMETERS angstrom
9.132 0.000 0.000
0.000 9.132 0.000
0.000 0.000 9.132
ATOMIC_POSITIONS angstrom
Sn 1.458 1.458 1.458
Sn 1.458 1.458 7.674
Sn 1.458 7.674 1.458
Sn 1.458 7.674 7.674
Sn 3.108 3.108 3.108
Sn 3.108 3.108 6.024
Sn 3.108 6.024 3.108
Sn 3.108 6.024 6.024
Sn 6.024 3.108 3.108
Sn 6.024 3.108 6.024
Sn 6.024 6.024 3.108
Sn 6.024 6.024 6.024
Sn 7.674 1.458 1.458
Sn 7.674 1.458 7.674
Sn 7.674 7.674 1.458
Sn 7.674 7.674 7.674
! Distance to the lowest polymorph of the same formula, meV/atom: 206
! Calculated total energy, eV per cell: -60.74
! ΔH_f (0 K), meV/atom: 206
! Space group: Im-3m, No. 229

# 17
! Sn, relaxed, DFT PBE-GGA; values from VASP
&SYSTEM
  ibrav = 0, nat = 16, ntyp = 1
/
ATOMIC_SPECIES
Sn 118.71 Sn.upf
CELL_PARAMETERS angstrom
11.747 0.000 0.000
0.000 11.747 0.000
0.000 0.000 3.314
ATOMIC_POSITIONS angstrom
Sn 1.382 4.397 0.000
Sn 1.406 1.627 1.657
Sn 1.477 7.256 1.657
Sn 1.627 10.341 1.657
Sn 4.246 7.280 0.000
Sn 4.397 10.365 0.000
Sn 4.467 4.246 0.000
Sn 4.491 1.477 1.657
Sn 7.256 10.270 1.657
Sn 7.280 7.501 0.000
Sn 7.350 1.382 0.000
Sn 7.501 4.467 0.000
Sn 10.120 1.406 1.657
Sn 10.270 4.491 1.657
Sn 10.341 10.120 1.657
Sn 10.365 7.350 0.000
! Distance to the lowest polymorph of the same formula, meV/atom: 67
! Calculated total energy, eV per cell: -62.97
! ΔH_f (0 K), meV/atom: 67
! Space group: I4/m, No. 87

# 18
! Sn, relaxed, DFT PBE-GGA; values from VASP
&SYSTEM
  ibrav = 0, nat = 8, ntyp = 1
/
ATOMIC_SPECIES
Sn 118.71 Sn.upf
CELL_PARAMETERS angstrom
8.109 0.000 0.000
0.000 8.109 0.000
0.000 0.000 4.701
ATOMIC_POSITIONS angstrom
Sn 1.447 1.447 0.000
Sn 1.447 6.661 0.000
Sn 2.607 2.607 2.351
Sn 2.607 5.501 2.351
Sn 5.501 2.607 2.351
Sn 5.501 5.501 2.351
Sn 6.661 1.447 0.000
Sn 6.661 6.661 0.000
! Distance to the lowest polymorph of the same formula, meV/atom: 63
! Calculated total energy, eV per cell: -31.51
! ΔH_f (0 K), meV/atom: 63
! Space group: I4/mmm, No. 139

# 19
! Sn, relaxed, DFT PBE-GGA; values from VASP
&SYSTEM
  ibrav = 0, nat = 16, ntyp = 1
/
ATOMIC_SPECIES
Sn 118.71 Sn.upf
CELL_PARAMETERS angstrom
12.226 0.000 0.000
0.000 12.226 0.000
0.000 0.000 4.718
ATOMIC_POSITIONS angstrom
Sn 1.434 3.491 0.000
Sn 1.434 8.735 0.000
Sn 2.622 4.679 2.359
Sn 2.622 7.547 2.359
Sn 3.491 1.434 0.000
Sn 3.491 10.792 0.000
Sn 4.679 2.622 2.359
Sn 4.679 9.604 2.359
Sn 7.547 2.622 2.359
Sn 7.547 9.604 2.359
Sn 8.735 1.434 0.000
Sn 8.735 10.792 0.000
Sn 9.604 4.679 2.359
Sn 9.604 7.547 2.359
Sn 10.792 3.491 0.000
Sn 10.792 8.735 0.000
! Distance to the lowest polymorph of the same formula, meV/atom: 149
! Calculated total energy, eV per cell: -61.67
! ΔH_f (0 K), meV/atom: 149
! Space group: I4/mmm, No. 139

# 20
! Sn, relaxed, DFT PBE-GGA; values from VASP
&SYSTEM
  ibrav = 0, nat = 16, ntyp = 1
/
ATOMIC_SPECIES
Sn 118.71 Sn.upf
CELL_PARAMETERS angstrom
9.928 0.000 0.000
0.000 6.720 0.000
0.000 0.000 6.674
ATOMIC_POSITIONS angstrom
Sn 0.000 1.162 1.119
Sn 0.000 2.198 4.456
Sn 0.000 4.522 2.217
Sn 0.000 5.559 5.554
Sn 2.126 0.000 3.337
Sn 2.126 3.360 0.000
Sn 2.838 0.000 0.000
Sn 2.838 3.360 3.337
Sn 4.964 1.162 2.217
Sn 4.964 2.198 5.554
Sn 4.964 4.522 1.119
Sn 4.964 5.559 4.456
Sn 7.090 0.000 0.000
Sn 7.090 3.360 3.337
Sn 7.802 0.000 3.337
Sn 7.802 3.360 0.000
! Distance to the lowest polymorph of the same formula, meV/atom: 50
! Calculated total energy, eV per cell: -63.24
! ΔH_f (0 K), meV/atom: 50
! Space group: Cmce, No. 64

# 21
! Sn, relaxed, DFT PBE-GGA; values from VASP
&SYSTEM
  ibrav = 0, nat = 2, ntyp = 1
/
ATOMIC_SPECIES
Sn 118.71 Sn.upf
CELL_PARAMETERS angstrom
3.313 0.000 0.000
0.000 5.501 0.000
0.000 0.000 3.091
ATOMIC_POSITIONS angstrom
Sn 0.828 1.375 0.156
Sn 2.485 4.126 2.934
! Distance to the lowest polymorph of the same formula, meV/atom: 35
! Calculated total energy, eV per cell: -7.94
! ΔH_f (0 K), meV/atom: 35
! Space group: Pmmn, No. 59

# 22
! Sn, relaxed, DFT PBE-GGA; values from VASP
&SYSTEM
  ibrav = 0, nat = 4, ntyp = 1
/
ATOMIC_SPECIES
Sn 118.71 Sn.upf
CELL_PARAMETERS angstrom
4.685 0.000 0.000
-2.342 4.057 0.000
0.000 0.000 7.677
ATOMIC_POSITIONS angstrom
Sn 0.000 2.705 0.479
Sn 0.000 2.705 3.360
Sn 2.342 1.352 4.318
Sn 2.342 1.352 7.198
! Distance to the lowest polymorph of the same formula, meV/atom: 12
! Calculated total energy, eV per cell: -15.96
! ΔH_f (0 K), meV/atom: 12
! Space group: P6_3/mmc, No. 194

# 23
! Sn, relaxed, DFT PBE-GGA; values from VASP
&SYSTEM
  ibrav = 0, nat = 16, ntyp = 1
/
ATOMIC_SPECIES
Sn 118.71 Sn.upf
CELL_PARAMETERS angstrom
9.048 0.000 0.000
0.000 9.048 0.000
0.000 0.000 9.631
ATOMIC_POSITIONS angstrom
Sn 1.462 0.800 3.612
Sn 1.462 3.724 3.612
Sn 1.462 5.324 6.019
Sn 1.462 8.248 6.019
Sn 3.062 0.800 1.204
Sn 3.062 3.724 1.204
Sn 3.062 5.324 8.427
Sn 3.062 8.248 8.427
Sn 5.986 0.800 1.204
Sn 5.986 3.724 1.204
Sn 5.986 5.324 8.427
Sn 5.986 8.248 8.427
Sn 7.586 0.800 3.612
Sn 7.586 3.724 3.612
Sn 7.586 5.324 6.019
Sn 7.586 8.248 6.019
! Distance to the lowest polymorph of the same formula, meV/atom: 216
! Calculated total energy, eV per cell: -60.58
! ΔH_f (0 K), meV/atom: 216
! Space group: I4_1/amd, No. 141